1.
Entry from Alexandria via LeMat-Bulk: Nd5Bi2Sb2 after structural relaxation (PBE-GGA).

It has space group Cmce (No. 64), with a = 16.020 Å, b = 8.430 Å, c = 8.532 Å, α = 90.00°, β = 90.00° and γ = 90.00°. The inequivalent atoms are Nd at (0.000, 0.000, 0.000), Nd at (0.140, 0.163, 0.340), Bi at (0.000, 0.141, 0.641) and Sb at (0.199, 0.000, 0.000).

As for the crystal system: orthorhombic. The energy above the most stable polymorph in this dataset comes out at 14 meV/atom. The calculated volume is 32.0 Å³/atom. The calculation puts the density of states at the Fermi level at 0.951 states/eV per atom. The calculation puts the total moment at 0.0 μB/f.u. For the uncorrected formation energy, the calculation gives -956 meV per atom.

---

2.
Entry from Alexandria via LeMat-Bulk: RuRhAu2 after structural relaxation (PBE-GGA).

It has space group Pmm2 (No. 25), with a = 2.832 Å, b = 3.813 Å, c = 5.985 Å, α = 90.00°, β = 90.00° and γ = 90.00°. The inequivalent atoms are Ru at (0.000, 0.000, 0.000), Rh at (0.500, 0.500, 0.809), Au at (0.000, 0.000, 0.537) and Au at (0.500, 0.500, 0.271).

As for the crystal system: orthorhombic. The energy above the most stable polymorph in this dataset comes out at 74 meV/atom. The calculated volume is 16.2 Å³/atom. The calculation puts the density of states at the Fermi level at 0.924 states/eV per atom. The calculation puts the total moment at 0.0 μB/f.u. As for the formation energy: 86 kJ/mol of formula units.

---

3.
Entry from Alexandria via LeMat-Bulk: La2DyThSe4 after structural relaxation (PBE-GGA).

It has space group P2/m (No. 10), with a = 7.317 Å, b = 4.198 Å, c = 7.362 Å, α = 90.00°, β = 109.16° and γ = 90.00°. The inequivalent atoms are La at (0.000, 0.000, 0.000), La at (0.000, 0.500, 0.500), Dy at (0.500, 0.000, 0.500), Th at (0.500, 0.500, 0.000), Se at (0.260, 0.000, 0.746) and Se at (0.265, 0.500, 0.261).

As for the crystal system: monoclinic. The calculated volume is 26.7 Å³/atom. The calculation puts the density of states at the Fermi level at 0.557 states/eV per atom. The calculation puts the total moment at 0.0 μB/f.u. For the uncorrected formation energy, the calculation gives -1818 meV per atom.

---

4.
Entry from Alexandria via LeMat-Bulk: BTe2C after structural relaxation (PBE-GGA).

It has space group I-42d (No. 122), with a = 5.983 Å, b = 5.983 Å, c = 8.341 Å, α = 90.00°, β = 90.00° and γ = 90.00°. The inequivalent atoms are B at (0.000, 0.000, 0.000), Te at (0.240, 0.250, 0.125) and C at (0.000, 0.000, 0.500).

As for the crystal system: tetragonal. The energy above the most stable polymorph in this dataset comes out at 0 meV/atom. The calculated volume is 18.7 Å³/atom. The calculation puts the density of states at the Fermi level at 0.565 states/eV per atom. The calculation puts the total moment at 0.0 μB/f.u. For the uncorrected formation energy, the calculation gives 1425 meV per atom.